1.
{"formula": "TaGaI2", "functional": "PBE", "state": "relaxed", "e_form_raw_ev_per_fu": -0.20, "lattice_angstrom": [[10.662, -1.933, 0.000], [10.662, 1.933, 0.000], [-1.708, 0.000, 7.576]], "species": ["Ta", "Ta", "Ga", "Ga", "I", "I", "I", "I"], "frac_coords": [[0.000, 0.000, 0.000], [0.033, 0.033, 0.368], [0.471, 0.471, 0.192], [0.877, 0.877, 0.969], [0.284, 0.284, 0.977], [0.592, 0.592, 0.943], [0.633, 0.633, 0.464], [0.946, 0.946, 0.585]]}



2.
{"formula": "TaAl2W", "functional": "PBE", "state": "relaxed", "formation_enthalpy_0k_mev_per_atom": -112, "lattice_angstrom": [[2.783, 0.000, 0.000], [0.000, 4.272, 0.000], [-1.196, 0.000, 5.414]], "species": ["Ta", "Al", "Al", "W"], "frac_coords": [[0.000, 0.000, 0.000], [0.469, 0.500, 0.743], [0.531, 0.500, 0.257], [0.000, 0.000, 0.500]]}



| no. | energy (eV/cell) | polymorph energy (0 for the lowest one) (meV/atom) |
| --- | --- | --- |
| 1 | -36.35 | 39.0 |
| 2 | -32.74 | 38.4 |